A plane-wave DFT calculation with GGA-PBE was carried out for crystalline TlBr3N at its relaxed geometry.

Unit cell a=5.628 b=5.628 c=5.628 alpha=90.00 beta=90.00 gamma=90.00
Space group Pm-3m (No. 221)
Inequivalent atoms, fractional coordinates:
1 Tl 0.000 0.000 0.000 (multiplicity 1)
2 Br 0.000 0.000 0.500 (multiplicity 3)
3 N 0.500 0.500 0.500 (multiplicity 1)

Results
V, A^3/atom: 35.649
Raw formation energy, meV/atom: 810.6
Distance to the lowest polymorph of the same formula, meV per atom: 284.7
Calculated density, g/cm3: 4.268